Entry from the Alexandria database: a relaxed NdCdHg crystal (PBE-GGA).

POSCAR file:
```
NdCdHg
1.0
-2.817 0.549 -2.456
-1.613 -3.224 1.129
-5.836 5.724 7.973
Nd Cd Hg
2 2 2
direct
0.872 0.291 0.142
0.372 0.791 0.370
0.873 0.291 0.828
0.372 0.791 0.685
0.872 0.291 0.536
0.373 0.791 0.976
```

Output
E_tot: -2.1752 eV per atom
Formation energy: -0.18 eV per atom
SG: P2_1/m, No. 11